GaSbCl2 | SCAN | single point on PBEsol structure

The structure in POSCAR format:
```
GaSbCl2
1.0
-4.856 0.241 -1.149
-3.443 -0.999 3.479
-2.825 3.683 1.848
Sb Cl Ga
1 2 1
Direct
0.500 0.500 0.500 Sb
0.250 0.250 0.250 Cl
0.750 0.750 0.750 Cl
0.000 0.000 0.000 Ga
```

Properties
Space-group type: Fm-3m
E_tot in eV per atom: -17.377
Total moment in μB/f.u.: 0.00
Formation energy from raw total energies in meV/atom: 14
Offset from the most stable computed form in meV per atom: 447.5

=====

GaSbCl2 | SCAN | single point on PBEsol structure

The structure in POSCAR format:
```
GaSbCl2
1.0
3.490 0.000 0.000
1.745 3.023 0.000
1.745 1.008 9.299
Ga Sb Cl
1 1 2
Direct
0.500 0.500 0.500 Ga
0.000 0.000 0.000 Sb
0.906 0.906 0.281 Cl
0.094 0.094 0.719 Cl
```

Properties
Space-group type: R-3m
E_tot in eV per atom: -17.824
Total moment in μB/f.u.: 0.00
Formation energy from raw total energies in meV/atom: -433
Offset from the most stable computed form in meV per atom: 0.0

=====

GaSe3Cl | SCAN | single point on PBEsol structure

The structure in POSCAR format:
```
GaSe3Cl
1.0
-0.049 2.551 4.174
-4.502 -1.656 0.959
1.914 -3.831 2.364
Se Cl Ga
3 1 1
Direct
0.000 0.500 0.000 Se
0.000 0.000 0.500 Se
0.500 0.000 0.000 Se
0.500 0.500 0.500 Cl
0.000 0.000 0.000 Ga
```

Properties
Space-group type: Pm-3m
E_tot in eV per atom: -16.440
Total moment in μB/f.u.: 0.00
Formation energy from raw total energies in meV/atom: 472